# 1
# AlFe2F, relaxed, DFT PBE with a Hubbard U
data_AlFe2F
_cell_length_a 6.417
_cell_length_b 6.417
_cell_length_c 6.092
_cell_angle_alpha 90.00
_cell_angle_beta 90.00
_cell_angle_gamma 90.00
_space_group_name_H-M_alt 'I -4 2 d'
_space_group_IT_number 122
_space_group_name_Hall 'I -4 2bw'
loop_
_atom_site_label
_atom_site_type_symbol
_atom_site_fract_x
_atom_site_fract_y
_atom_site_fract_z
Al1 Al 0.000 0.000 0.000
Fe1 Fe 0.195 0.750 0.625
F1 F 0.000 0.000 0.500
# Energy above the most stable polymorph in this dataset   0.0 meV/atom
# Crystal system   tetragonal

=====

# 2
# AlFeF3, relaxed, DFT PBE with a Hubbard U
data_AlFeF3
_cell_length_a 4.157
_cell_length_b 4.157
_cell_length_c 4.157
_cell_angle_alpha 90.00
_cell_angle_beta 90.00
_cell_angle_gamma 90.00
_space_group_name_H-M_alt 'P m -3 m'
_space_group_IT_number 221
_space_group_name_Hall '-P 4 2 3'
loop_
_atom_site_label
_atom_site_type_symbol
_atom_site_fract_x
_atom_site_fract_y
_atom_site_fract_z
Al1 Al 0.000 0.000 0.000
Fe1 Fe 0.500 0.500 0.500
F1 F 0.000 0.500 0.500
# Energy above the most stable polymorph in this dataset   189.4 meV/atom
# Crystal system   cubic

=====

# 3
# AlFe2F6, relaxed, DFT PBE with a Hubbard U
data_AlFe2F6
_cell_length_a 9.673
_cell_length_b 13.867
_cell_length_c 4.083
_cell_angle_alpha 90.00
_cell_angle_beta 110.67
_cell_angle_gamma 90.00
_space_group_name_H-M_alt 'C 1 2/c 1'
_space_group_IT_number 15
_space_group_name_Hall '-C 2yc'
loop_
_atom_site_label
_atom_site_type_symbol
_atom_site_fract_x
_atom_site_fract_y
_atom_site_fract_z
Al1 Al 0.000 0.192 0.250
Fe1 Fe 0.156 0.420 0.212
F1 F 0.109 0.124 0.587
F2 F 0.109 0.270 0.124
F3 F 0.210 0.427 0.759
# Total energy   -196.357 eV per cell
# Crystal system   monoclinic

=====

# 4
# AlFe2F8, relaxed, DFT PBE with a Hubbard U
data_AlFe2F8
_cell_length_a 9.003
_cell_length_b 6.551
_cell_length_c 4.318
_cell_angle_alpha 90.00
_cell_angle_beta 92.52
_cell_angle_gamma 90.00
_space_group_name_H-M_alt 'C 1 2/m 1'
_space_group_IT_number 12
_space_group_name_Hall '-C 2y'
loop_
_atom_site_label
_atom_site_type_symbol
_atom_site_fract_x
_atom_site_fract_y
_atom_site_fract_z
Al1 Al 0.000 0.000 0.000
Fe1 Fe 0.124 0.500 0.234
F1 F 0.098 0.202 0.222
F2 F 0.105 0.500 0.731
F3 F 0.158 0.000 0.752
# Total energy   -120.540 eV per cell
# Crystal system   monoclinic

=====

# 5
# Al3FeF, relaxed, DFT PBE with a Hubbard U
data_Al3FeF
_cell_length_a 4.428
_cell_length_b 4.428
_cell_length_c 4.428
_cell_angle_alpha 90.00
_cell_angle_beta 90.00
_cell_angle_gamma 90.00
_space_group_name_H-M_alt 'P m -3 m'
_space_group_IT_number 221
_space_group_name_Hall '-P 4 2 3'
loop_
_atom_site_label
_atom_site_type_symbol
_atom_site_fract_x
_atom_site_fract_y
_atom_site_fract_z
Al1 Al 0.000 0.000 0.500
Fe1 Fe 0.000 0.000 0.000
F1 F 0.500 0.500 0.500
# Energy above the most stable polymorph in this dataset   280.0 meV/atom
# Crystal system   cubic

=====

# 6
# Al2FeF, relaxed, DFT PBE with a Hubbard U
data_Al2FeF
_cell_length_a 6.179
_cell_length_b 6.179
_cell_length_c 6.179
_cell_angle_alpha 90.00
_cell_angle_beta 90.00
_cell_angle_gamma 90.00
_space_group_name_H-M_alt 'F m -3 m'
_space_group_IT_number 225
_space_group_name_Hall '-F 4 2 3'
loop_
_atom_site_label
_atom_site_type_symbol
_atom_site_fract_x
_atom_site_fract_y
_atom_site_fract_z
Al1 Al 0.250 0.250 0.250
Fe1 Fe 0.000 0.000 0.000
F1 F 0.000 0.000 0.500
# Total energy   -61.111 eV per cell
# Crystal system   cubic

=====

# 7
# AlFeF4, relaxed, DFT PBE with a Hubbard U
data_AlFeF4
_cell_length_a 4.224
_cell_length_b 4.224
_cell_length_c 10.862
_cell_angle_alpha 90.00
_cell_angle_beta 90.00
_cell_angle_gamma 90.00
_space_group_name_H-M_alt 'P -4 2 c'
_space_group_IT_number 112
_space_group_name_Hall 'P -4 2c'
loop_
_atom_site_label
_atom_site_type_symbol
_atom_site_fract_x
_atom_site_fract_y
_atom_site_fract_z
Al1 Al 0.000 0.500 0.250
Fe1 Fe 0.000 0.000 0.000
F1 F 0.213 0.263 0.348
# Total energy   -63.813 eV per cell
# Crystal system   tetragonal

=====

# 8
# AlFe2F, relaxed, DFT PBE with a Hubbard U
data_AlFe2F
_cell_length_a 6.192
_cell_length_b 6.192
_cell_length_c 6.192
_cell_angle_alpha 90.00
_cell_angle_beta 90.00
_cell_angle_gamma 90.00
_space_group_name_H-M_alt 'F m -3 m'
_space_group_IT_number 225
_space_group_name_Hall '-F 4 2 3'
loop_
_atom_site_label
_atom_site_type_symbol
_atom_site_fract_x
_atom_site_fract_y
_atom_site_fract_z
Al1 Al 0.000 0.000 0.000
Fe1 Fe 0.250 0.250 0.250
F1 F 0.000 0.000 0.500
# Energy above the most stable polymorph in this dataset   291.5 meV/atom
# Crystal system   cubic

=====

# 9
# AlFe3F15, relaxed, DFT PBE with a Hubbard U
data_AlFe3F15
_cell_length_a 8.292
_cell_length_b 6.774
_cell_length_c 9.534
_cell_angle_alpha 90.00
_cell_angle_beta 115.12
_cell_angle_gamma 90.00
_space_group_name_H-M_alt 'C 1 2/m 1'
_space_group_IT_number 12
_space_group_name_Hall '-C 2y'
loop_
_atom_site_label
_atom_site_type_symbol
_atom_site_fract_x
_atom_site_fract_y
_atom_site_fract_z
Al1 Al 0.000 0.000 0.000
Fe1 Fe 0.000 0.500 0.500
Fe2 Fe 0.005 0.500 0.179
F1 F 0.000 0.000 0.500
F2 F 0.000 0.304 0.000
F3 F 0.012 0.320 0.667
F4 F 0.016 0.000 0.185
F5 F 0.234 0.500 0.573
F6 F 0.244 0.000 0.069
F7 F 0.247 0.500 0.266
# Total energy   -175.663 eV per cell
# Crystal system   monoclinic

=====

# 10
# AlFeF3, relaxed, DFT PBE with a Hubbard U
data_AlFeF3
_cell_length_a 3.928
_cell_length_b 3.928
_cell_length_c 3.928
_cell_angle_alpha 90.00
_cell_angle_beta 90.00
_cell_angle_gamma 90.00
_space_group_name_H-M_alt 'P m -3 m'
_space_group_IT_number 221
_space_group_name_Hall '-P 4 2 3'
loop_
_atom_site_label
_atom_site_type_symbol
_atom_site_fract_x
_atom_site_fract_y
_atom_site_fract_z
Al1 Al 0.000 0.000 0.000
Fe1 Fe 0.500 0.500 0.500
F1 F 0.000 0.000 0.500
# Energy above the most stable polymorph in this dataset   0.0 meV/atom
# Crystal system   cubic

=====

# 11
# AlFeF6, relaxed, DFT PBE with a Hubbard U
data_AlFeF6
_cell_length_a 4.8947
_cell_length_b 4.8947
_cell_length_c 8.9485
_cell_angle_alpha 90.00
_cell_angle_beta 90.00
_cell_angle_gamma 120.00
_space_group_name_H-M_alt 'P -3 1 c'
_space_group_IT_number 163
_space_group_name_Hall '-P 3 2c'
loop_
_atom_site_label
_atom_site_type_symbol
_atom_site_fract_x
_atom_site_fract_y
_atom_site_fract_z
Al1 Al 0.0000 0.0000 0.0000
Fe1 Fe 0.3333 0.6667 0.2500
F1 F 0.0397 0.3232 0.1185
# Total energy   -88.852 eV per cell
# Crystal system   trigonal

=====

# 12
# Al3FeF, relaxed, DFT PBE with a Hubbard U
data_Al3FeF
_cell_length_a 4.331
_cell_length_b 4.331
_cell_length_c 4.331
_cell_angle_alpha 90.00
_cell_angle_beta 90.00
_cell_angle_gamma 90.00
_space_group_name_H-M_alt 'P m -3 m'
_space_group_IT_number 221
_space_group_name_Hall '-P 4 2 3'
loop_
_atom_site_label
_atom_site_type_symbol
_atom_site_fract_x
_atom_site_fract_y
_atom_site_fract_z
Al1 Al 0.000 0.000 0.500
Fe1 Fe 0.500 0.500 0.500
F1 F 0.000 0.000 0.000
# Energy above the most stable polymorph in this dataset   0.0 meV/atom
# Crystal system   cubic